! KReCl2 (PBE-GGA, relaxed); values from VASP
! **Offset from the most stable computed form**: 263.0 meV per atom
! **Formation energy from raw total energies**: 0.181 eV per atom
! **Uncorrected energy**: -4.1287 eV/atom
&SYSTEM
  ibrav = 0, nat = 8, ntyp = 3
/
ATOMIC_SPECIES
Cl 35.45 Cl.upf
Re 186.21 Re.upf
K 39.10 K.upf
ATOMIC_POSITIONS angstrom
Cl -11.272 -3.571 -0.628
Re 0.000 0.000 0.000
Cl -6.975 -2.263 1.846
Cl -3.196 -3.318 -1.085
K -3.706 -0.388 -1.748
K -6.160 -3.853 -0.621
Cl -5.357 1.114 0.326
Re -7.240 -0.165 0.851
CELL_PARAMETERS angstrom
-4.787 3.300 -0.275
-2.625 -4.076 -3.221
-5.988 -3.243 3.725



! Pm7Sm2Th2 (PBE-GGA, relaxed); values from VASP
! **Offset from the most stable computed form**: 3.8 meV per atom
! **Uncorrected energy**: -5.0497 eV/atom
! **ΔE_f**: 0.18 eV per atom
&SYSTEM
  ibrav = 0, nat = 11, ntyp = 3
/
ATOMIC_SPECIES
Pm 145.00 Pm.upf
Sm 150.36 Sm.upf
Th 232.04 Th.upf
ATOMIC_POSITIONS angstrom
Pm 3.946 1.750 4.234
Pm 0.000 0.000 0.000
Pm 3.158 0.519 0.727
Sm -0.304 5.596 8.014
Th 5.153 2.804 7.564
Pm 7.337 0.519 5.427
Pm 2.775 5.089 9.484
Pm -1.404 5.089 4.784
Sm 6.237 0.012 2.198
Pm 1.987 3.858 5.977
Th 0.780 2.804 2.647
CELL_PARAMETERS angstrom
8.664 -1.485 0.040
-1.757 5.608 1.562
-0.974 1.485 8.609



! Zr13Ti2 (PBE-GGA, relaxed); values from VASP
! **Uncorrected energy**: -8.4456 eV/atom
! **ΔE_f**: 0.02 eV per atom
&SYSTEM
  ibrav = 0, nat = 15, ntyp = 2
/
ATOMIC_SPECIES
Zr 91.22 Zr.upf
Ti 47.87 Ti.upf
ATOMIC_POSITIONS angstrom
Zr 0.000 0.000 0.000
Zr 1.847 3.235 3.322
Zr 3.295 0.905 4.800
Zr 4.908 2.406 2.484
Zr 4.718 -1.435 6.293
Zr 3.496 4.754 0.903
Zr 2.762 0.611 1.610
Zr 2.380 3.529 6.512
Ti 0.474 0.270 3.231
Zr 0.234 1.735 5.638
Zr 3.308 6.197 3.434
Zr 1.834 -2.056 4.688
Zr 1.646 -0.614 7.219
Ti 4.667 3.870 4.892
Zr 0.424 5.575 1.830
CELL_PARAMETERS angstrom
5.842 -0.183 0.675
-0.982 7.908 0.301
0.281 -3.584 7.146



! K2TcSe (PBE-GGA, relaxed); values from VASP
! **Formation energy from raw total energies**: 0.123 eV per atom
! **Uncorrected energy**: -3.8882 eV/atom
&SYSTEM
  ibrav = 0, nat = 4, ntyp = 3
/
ATOMIC_SPECIES
Tc 98.00 Tc.upf
K 39.10 K.upf
Se 78.96 Se.upf
ATOMIC_POSITIONS angstrom
Tc -13.045 19.021 -2.781
K -3.583 5.225 -0.764
Se -7.800 11.373 -1.663
K -0.474 0.692 -0.101
CELL_PARAMETERS angstrom
-3.933 8.950 -2.662
-7.294 6.741 -2.003
-5.375 8.515 1.125



! In3SnPb3 (PBE-GGA, relaxed); values from VASP
! **Offset from the most stable computed form**: 0.0 meV per atom
! **Uncorrected energy**: -3.2917 eV/atom
! **ΔE_f**: 0.04 eV per atom
&SYSTEM
  ibrav = 0, nat = 14, ntyp = 3
/
ATOMIC_SPECIES
In 114.82 In.upf
Pb 207.20 Pb.upf
Sn 118.71 Sn.upf
ATOMIC_POSITIONS angstrom
In -5.247 0.730 7.303
Pb -5.248 -0.741 4.262
In -3.473 -6.428 3.277
Pb -5.274 -2.328 1.187
In -4.498 0.952 1.387
Pb -1.915 0.173 3.697
Sn -2.685 -3.082 3.502
Sn -4.478 2.514 4.458
In -3.690 5.861 4.683
Pb -6.043 -4.103 4.057
Pb -1.120 3.536 3.903
Pb -1.889 1.761 6.773
In -2.665 -1.520 6.573
In -1.916 -1.298 0.657
CELL_PARAMETERS angstrom
-5.674 1.382 -0.667
-2.310 -8.333 2.380
0.821 6.383 6.247



! LiRuRhO4 (PBE-GGA, relaxed); values from VASP
! **Formation energy from raw total energies**: -1.078 eV per atom
! **Uncorrected energy**: -6.5596 eV/atom
&SYSTEM
  ibrav = 0, nat = 14, ntyp = 4
/
ATOMIC_SPECIES
O 16.00 O.upf
Rh 102.91 Rh.upf
Ru 101.07 Ru.upf
Li 6.94 Li.upf
ATOMIC_POSITIONS angstrom
O 0.171 2.951 2.229
O 2.942 2.951 2.239
Rh 1.589 -1.581 2.164
Rh 0.000 0.000 0.000
Ru 1.579 1.457 2.149
Ru 3.038 0.004 0.015
Li 4.591 3.024 1.082
O 1.530 4.710 0.075
O 2.987 -0.037 2.069
O 1.538 1.405 0.095
O 1.620 1.509 4.202
O 1.628 -1.796 4.222
Li -1.434 -0.110 3.216
O 0.215 -0.037 2.058
CELL_PARAMETERS angstrom
6.077 0.009 0.031
-0.021 6.077 -0.031
-2.898 -3.172 4.298



! DyHo3Tl4S8 (PBE-GGA, relaxed); values from VASP
! **Formation energy from raw total energies**: -1.490 eV per atom
! **Uncorrected energy**: -5.2917 eV/atom
&SYSTEM
  ibrav = 0, nat = 16, ntyp = 4
/
ATOMIC_SPECIES
S 32.06 S.upf
Tl 204.38 Tl.upf
Ho 164.93 Ho.upf
Dy 162.50 Dy.upf
ATOMIC_POSITIONS angstrom
S -4.755 1.513 4.323
Tl 0.000 0.000 0.000
S -2.390 1.698 1.408
S -2.591 -1.488 5.889
S -2.017 -4.717 4.054
S -0.802 1.941 4.806
Ho -0.695 3.531 2.564
Ho -0.322 -2.890 5.216
S -2.964 4.928 3.243
Ho -2.491 0.105 3.648
Tl -1.796 -3.425 1.084
Tl -2.169 2.996 -1.568
S -4.179 -1.731 2.491
S -0.227 -1.302 2.973
Tl -3.964 -0.430 -0.484
Dy 1.474 0.535 4.132
CELL_PARAMETERS angstrom
-3.591 -6.851 2.168
2.948 1.070 8.264
-4.338 5.991 -3.136



! LiCa2HoS4 (PBE-GGA, relaxed); values from VASP
! **Formation energy from raw total energies**: -1.974 eV per atom
! **Uncorrected energy**: -5.3492 eV/atom
&SYSTEM
  ibrav = 0, nat = 8, ntyp = 4
/
ATOMIC_SPECIES
Ca 40.08 Ca.upf
S 32.06 S.upf
Ho 164.93 Ho.upf
Li 6.94 Li.upf
ATOMIC_POSITIONS angstrom
Ca -1.419 -0.426 3.658
S -0.208 -2.118 1.758
Ca 2.316 -1.408 2.896
S 3.557 -3.120 1.029
S 2.143 -3.513 4.822
Ho 0.000 0.000 0.000
S 1.074 0.304 4.764
Li 1.039 -3.796 0.025
CELL_PARAMETERS angstrom
-2.695 -2.814 0.787
4.774 -4.778 -0.736
-0.142 1.962 6.529